(1)
# GGA-PBE YPaSN2, relaxed
data_YPaSN2
_cell_length_a 3.8562
_cell_length_b 3.8562
_cell_length_c 12.0002
_cell_angle_alpha 90.00
_cell_angle_beta 90.00
_cell_angle_gamma 90.00
_symmetry_space_group_name_H-M 'I 4 m m'
_symmetry_Int_Tables_number 107
_symmetry_space_group_name_Hall 'I 4 -2'
loop_
_atom_site_label
_atom_site_type_symbol
_atom_site_fract_x
_atom_site_fract_y
_atom_site_fract_z
_atom_site_occupancy
Y1 Y 0.0000 0.0000 0.0000 1
Pa1 Pa 0.0000 0.0000 0.3133 1
S1 S 0.0000 0.0000 0.6560 1
N1 N 0.0000 0.5000 0.3971 1
# Energy = -91.002 eV per cell

(2)
# GGA-PBE Hf2Cd2Tc, relaxed
data_Hf2Cd2Tc
_cell_length_a 3.2449
_cell_length_b 3.2449
_cell_length_c 19.2523
_cell_angle_alpha 90.00
_cell_angle_beta 90.00
_cell_angle_gamma 90.00
_symmetry_space_group_name_H-M 'I 4/m m m'
_symmetry_Int_Tables_number 139
_symmetry_space_group_name_Hall '-I 4 2'
loop_
_atom_site_label
_atom_site_type_symbol
_atom_site_fract_x
_atom_site_fract_y
_atom_site_fract_z
_atom_site_occupancy
Hf1 Hf 0.0000 0.0000 0.0820 1
Cd1 Cd 0.0000 0.0000 0.3030 1
Tc1 Tc 0.0000 0.0000 0.5000 1
# Energy = -66.572 eV per cell

(3)
# GGA-PBE Ti6CuIr, relaxed
data_Ti6CuIr
_cell_length_a 5.6602
_cell_length_b 10.0003
_cell_length_c 5.4550
_cell_angle_alpha 90.00
_cell_angle_beta 119.05
_cell_angle_gamma 90.00
_symmetry_space_group_name_H-M 'C 1 2/m 1'
_symmetry_Int_Tables_number 12
loop_
_symmetry_equiv_pos_as_xyz
'x,y,z'
'-x,-y,-z'
'-x,y,-z'
'x,-y,z'
'x+1/2,y+1/2,z'
'-x+1/2,-y+1/2,-z'
'-x+1/2,y+1/2,-z'
'x+1/2,-y+1/2,z'
loop_
_atom_site_label
_atom_site_type_symbol
_atom_site_fract_x
_atom_site_fract_y
_atom_site_fract_z
_atom_site_occupancy
Ti1 Ti 0.0086 0.2191 0.2500 1
Ti2 Ti 0.0110 0.5000 0.7573 1
Cu1 Cu 0.0000 0.0000 0.0000 1
Ir1 Ir 0.0000 0.0000 0.5000 1
# Energy above the lowest structure with this stoichiometry = 393 meV/atom

no.,magnetic moment (μB/f.u.)
1,0.000
2,0.000
3,0.000